Record 1
DFT (meta-GGA SCAN) results for a crystal of AlMoPb2 relaxed with PBEsol.

a = 3.4867 Å, b = 4.9407 Å, c = 4.9407 Å
α = 104.19°, β = 89.95°, γ = 89.95°
Closest atoms and distances in Å follow each position.
Sites, in units of the cell vectors:
Pb: 0.0000 0.0000 0.5000  4 Al 3.02, 4 Mo 3.02, 2 Pb 3.04
Pb: 0.0000 0.5000 0.0000  4 Mo 3.02, 4 Al 3.02, 2 Pb 3.04
Al: 0.5000 0.5000 0.5000  8 Pb 3.02, 2 Mo 3.04
Mo: 0.5000 0.0000 0.0000  8 Pb 3.02, 2 Al 3.04

Calculated density (Mg/m³): 10.81
Energy of formation from the pure elements (eV/f.u.): 2.8

---

Record 2
DFT (meta-GGA SCAN) results for a crystal of AlMo2Pb relaxed with PBEsol.

a = 3.2345 Å, b = 4.8724 Å, c = 4.9481 Å
α = 98.37°, β = 90.00°, γ = 109.39°
Closest atoms and distances in Å follow each position.
Sites, in units of the cell vectors:
Mo: 0.2456 0.4913 0.1908  2 Mo 2.50, 1 Al 2.65
Mo: 0.7544 0.5087 0.8092  2 Mo 2.50, 1 Al 2.65
Al: 0.5000 0.0000 0.0000  6 Mo 2.65-2.82, 4 Pb 2.96
Pb: 0.0000 0.0000 0.5000  6 Mo 2.92-3.05, 4 Al 2.96, 2 Pb 3.23

E above lowest polymorph (meV per atom): 38
Calculated density (Mg/m³): 9.73
Energy of formation from the pure elements (eV/f.u.): 1.4

---

Record 3
DFT (meta-GGA SCAN) results for a crystal of Al2MoPb relaxed with PBEsol.

a = 3.5594 Å, b = 4.5287 Å, c = 5.2225 Å
α = 115.69°, β = 109.92°, γ = 90.00°
Closest atoms and distances in Å follow each position.
Sites, in units of the cell vectors:
Al: 0.0092 0.0092 0.0184  2 Al 2.77, 4 Pb 2.88-3.08, 4 Mo 2.89
Al: 0.7528 0.2528 0.5056  2 Mo 2.72, 2 Al 2.77, 4 Pb 2.88
Pb: 0.2487 0.7487 0.4974  4 Mo 2.88-3.09, 8 Al 2.88-3.08
Mo: 0.4893 0.4893 0.9786  6 Al 2.72-2.89, 2 Pb 2.88

Calculated density (Mg/m³): 8.44
Energy of formation from the pure elements (eV/f.u.): 1.1

---

Record 4
DFT (meta-GGA SCAN) results for a crystal of Al2ZnMoPd relaxed with PBEsol.

a = 4.5272 Å, b = 4.5272 Å, c = 4.9002 Å
α = 90.00°, β = 90.00°, γ = 90.00°
Closest atoms and distances in Å follow each position.
Sites, in units of the cell vectors:
Mo: 0.0000 0.0000 0.5000  2 Pd 2.45
Al: 0.0000 0.5000 0.0000  2 Pd 2.26
Al: 0.5000 0.0000 0.0000  2 Pd 2.26
Zn: 0.5000 0.5000 0.5000  4 Mo 3.20, 8 Al 3.34
Pd: 0.0000 0.0000 0.0000  4 Al 2.26, 2 Mo 2.45

Calculated density (Mg/m³): 5.32
Energy of formation from the pure elements (eV/f.u.): 3.5

---

Record 5
DFT (meta-GGA SCAN) results for a crystal of Al2MoPt relaxed with PBEsol.

a = 3.4831 Å, b = 3.8199 Å, c = 5.1103 Å
α = 111.95°, β = 109.92°, γ = 90.00°
Closest atoms and distances in Å follow each position.
Sites, in units of the cell vectors:
Mo: 0.5024 0.5026 0.0052  6 Al 2.59-2.82, 2 Pt 2.81-2.82
Pt: 0.2538 0.7535 0.5070  6 Al 2.58-2.74, 2 Mo 2.81-2.82
Al: 0.9932 0.9933 0.9866  4 Mo 2.59, 2 Pt 2.74, 4 Al 2.86-2.87
Al: 0.7507 0.2506 0.5011  4 Pt 2.58-2.59, 2 Mo 2.82, 4 Al 2.86-2.87

E above lowest polymorph (meV per atom): 140
Calculated density (Mg/m³): 9.77
Energy of formation from the pure elements (eV/f.u.): -2.4

---

Record 6
DFT (meta-GGA SCAN) results for a crystal of Al2MoPt relaxed with PBEsol.

a = 4.3971 Å, b = 4.3971 Å, c = 4.3971 Å
α = 60.00°, β = 60.00°, γ = 60.00°
Closest atoms and distances in Å follow each position.
Sites, in units of the cell vectors:
Pt: 0.2500 0.2500 0.2500  4 Mo 2.69, 4 Al 2.69
Al: 0.0000 0.0000 0.0000  4 Al 2.69, 4 Pt 2.69
Al: 0.7500 0.7500 0.7500  4 Al 2.69, 4 Mo 2.69
Mo: 0.5000 0.5000 0.5000  4 Pt 2.69, 4 Al 2.69

E above lowest polymorph (meV per atom): 480
Calculated density (Mg/m³): 9.53
Energy of formation from the pure elements (eV/f.u.): -1.0

---

Record 7
DFT (meta-GGA SCAN) results for a crystal of Al2Mo2Pt relaxed with PBEsol.

a = 3.5711 Å, b = 3.5711 Å, c = 6.8902 Å
α = 105.02°, β = 105.02°, γ = 90.00°
Closest atoms and distances in Å follow each position.
Sites, in units of the cell vectors:
Pt: 0.0000 0.0000 0.0000  8 Mo 2.79
Mo: 0.4075 0.4075 0.8150  1 Mo 2.37
Mo: 0.5925 0.5925 0.1850  1 Mo 2.37
Al: 0.2500 0.7500 0.5000  4 Al 2.53, 4 Mo 2.70
Al: 0.7500 0.2500 0.5000  4 Al 2.53, 4 Mo 2.70

Calculated density (Mg/m³): 8.96
Energy of formation from the pure elements (eV/f.u.): 1.7

---

Record 8
DFT (meta-GGA SCAN) results for a crystal of Al2MoPt relaxed with PBEsol.

a = 2.7261 Å, b = 4.3137 Å, c = 5.1635 Å
α = 90.00°, β = 105.31°, γ = 90.00°
Closest atoms and distances in Å follow each position.
Sites, in units of the cell vectors:
Al: 0.6641 0.5000 0.3282  3 Pt 2.56-2.78, 4 Al 2.67-2.73, 4 Mo 2.68
Al: 0.8227 0.0000 0.6454  3 Mo 2.59-2.75, 4 Al 2.67-2.73, 4 Pt 2.69
Mo: 0.0823 0.0000 0.1647  7 Al 2.59-2.75, 2 Mo 2.73
Pt: 0.4075 0.5000 0.8150  7 Al 2.56-2.78, 2 Pt 2.73

E above lowest polymorph (meV per atom): 184
Calculated density (Mg/m³): 9.78
Energy of formation from the pure elements (eV/f.u.): -2.2

---

Record 9
DFT (meta-GGA SCAN) results for a crystal of Al2MoPt relaxed with PBEsol.

a = 4.3187 Å, b = 4.3187 Å, c = 4.3187 Å
α = 60.00°, β = 60.00°, γ = 60.00°
Closest atoms and distances in Å follow each position.
Sites, in units of the cell vectors:
Al: 0.2500 0.2500 0.2500  4 Mo 2.64, 4 Pt 2.64
Al: 0.7500 0.7500 0.7500  4 Pt 2.64, 4 Mo 2.64
Pt: 0.5000 0.5000 0.5000  8 Al 2.64
Mo: 0.0000 0.0000 0.0000  8 Al 2.64

E above lowest polymorph (meV per atom): 37
Calculated density (Mg/m³): 10.06
Energy of formation from the pure elements (eV/f.u.): -2.8

---

Record 10
DFT (meta-GGA SCAN) results for a crystal of Al2MoPt relaxed with PBEsol.

a = 3.2965 Å, b = 4.1816 Å, c = 4.1816 Å
α = 90.00°, β = 90.00°, γ = 90.00°
Closest atoms and distances in Å follow each position.
Sites, in units of the cell vectors:
Al: 0.0000 0.5000 0.0000  4 Mo 2.66, 4 Pt 2.66, 4 Al 2.96
Al: 0.0000 0.0000 0.5000  4 Mo 2.66, 4 Pt 2.66, 4 Al 2.96
Mo: 0.5000 0.5000 0.5000  8 Al 2.66, 4 Pt 2.96
Pt: 0.5000 0.0000 0.0000  8 Al 2.66, 4 Mo 2.96

E above lowest polymorph (meV per atom): 0
Calculated density (Mg/m³): 9.94
Energy of formation from the pure elements (eV/f.u.): -2.9

---

Record 11
DFT (meta-GGA SCAN) results for a crystal of Al2MoPt relaxed with PBEsol.

a = 2.7677 Å, b = 4.0803 Å, c = 5.3334 Å
α = 90.00°, β = 92.34°, γ = 90.00°
Closest atoms and distances in Å follow each position.
Sites, in units of the cell vectors:
Al: 0.9340 0.0000 0.7609  2 Pt 2.48, 3 Al 2.56-2.77, 2 Mo 2.71
Al: 0.0660 0.0000 0.2391  2 Pt 2.48, 3 Al 2.56-2.77, 2 Mo 2.71
Mo: 0.5000 0.5000 0.0000  8 Al 2.71-2.84, 2 Mo 2.77, 2 Pt 2.95
Pt: 0.0000 0.5000 0.5000  4 Al 2.48, 2 Pt 2.77

E above lowest polymorph (meV per atom): 181
Calculated density (Mg/m³): 9.52
Energy of formation from the pure elements (eV/f.u.): -2.2

---

Record 12
DFT (meta-GGA SCAN) results for a crystal of Al2MoPt relaxed with PBEsol.

a = 5.5279 Å, b = 5.5736 Å, c = 5.5736 Å
α = 75.76°, β = 60.27°, γ = 60.27°
Closest atoms and distances in Å follow each position.
Sites, in units of the cell vectors:
Pt: 0.7500 0.5000 0.5000  4 Al 2.41
Pt: 0.0000 0.0000 0.0000  4 Al 2.41
Al: 0.6480 0.4770 0.9770  2 Pt 2.41, 2 Mo 2.63
Al: 0.8750 0.0230 0.4770  2 Pt 2.41, 2 Mo 2.63
Al: 0.1020 0.5230 0.0230  2 Pt 2.41, 2 Mo 2.63
Al: 0.3750 0.9770 0.5230  2 Pt 2.41, 2 Mo 2.63
Mo: 0.5000 0.0000 0.0000  4 Al 2.63, 2 Pt 2.76
Mo: 0.2500 0.5000 0.5000  4 Al 2.63, 2 Pt 2.76

E above lowest polymorph (meV per atom): 604
Calculated density (Mg/m³): 8.85
Energy of formation from the pure elements (eV/f.u.): -0.5

---

Which value of energy of formation from the pure elements does entry 5 give? -2.4 eV/f.u.

---

Look up the energy of formation from the pure elements of the eleventh one. -2.2 eV/f.u.